P | Here is an optimized crystal structure of SmHoEr6 from Alexandria via LeMat-Bulk. Energies are from GGA-PBE.

abc: 4.9829 4.9829 9.9633
angles: 90.00 90.00 90.00
Space group P4/mmm (No. 123)
Asymmetric unit:
1 Sm 0.0000 0.0000 0.0000
2 Ho 0.0000 0.0000 0.5000
3 Er 0.0000 0.5000 0.2517
4 Er 0.5000 0.5000 0.0000
5 Er 0.5000 0.5000 0.5000

D(E_F): 11.41 states/eV per cell
total magnetic moment: 0.0 μB per formula unit



Q | Here is an optimized crystal structure of SmHoEr6 from Alexandria via LeMat-Bulk. Energies are from GGA-PBE.

abc: 10.0001 6.6967 8.4868
angles: 90.00 104.81 90.00
Space group C2/m (No. 12)
Asymmetric unit:
1 Sm 0.0000 0.0000 0.0000
2 Ho 0.0000 0.0000 0.5000
3 Er 0.1267 0.5000 0.9254
4 Er 0.1970 0.2591 0.3003

D(E_F): 23.24 states/eV per cell
total magnetic moment: 0.0 μB per formula unit



Energies relative to the minimum, eV/atom: P 0.000; Q 0.352



P | Here is an optimized crystal structure of Sm2HoEr6 from Alexandria via LeMat-Bulk. Energies are from GGA-PBE.

abc: 10.5876 10.5876 5.0121
angles: 90.00 90.00 90.00
Space group P4_2/mnm (No. 136)
Asymmetric unit:
1 Sm 0.1666 0.1666 0.0000
2 Ho 0.0000 0.0000 0.5000
3 Er 0.0008 0.3340 0.5000
4 Er 0.1669 0.8331 0.0000

D(E_F): 22.83 states/eV per cell
total magnetic moment: 0.0 μB per formula unit



Q | Here is an optimized crystal structure of Sm2HoEr6 from Alexandria via LeMat-Bulk. Energies are from GGA-PBE.

abc: 12.7330 14.1386 6.5161
angles: 90.00 103.92 90.00
Space group C2/c (No. 15)
Asymmetric unit:
1 Sm 0.1428 0.0250 0.3722
2 Ho 0.0000 0.3816 0.2500
3 Er 0.0360 0.1875 0.0035
4 Er 0.1325 0.4108 0.8148
5 Er 0.2397 0.2009 0.7299

D(E_F): 45.22 states/eV per cell
total magnetic moment: 0.0 μB per formula unit



Energies relative to the minimum, eV/atom: P 0.000; Q 0.094



P | Here is an optimized crystal structure of Sm3Ho4Er5 from Alexandria via LeMat-Bulk. Energies are from GGA-PBE.

abc: 15.8891 5.8642 9.2241
angles: 90.00 116.15 90.00
Space group C2/m (No. 12)
Asymmetric unit:
1 Sm 0.0000 0.0000 0.0000
2 Sm 0.2084 0.5000 0.2313
3 Ho 0.0815 0.5000 0.4413
4 Ho 0.2100 0.5000 0.8776
5 Er 0.0000 0.5000 0.0000
6 Er 0.0732 0.0000 0.6970
7 Er 0.1726 0.0000 0.3878

D(E_F): 37.96 states/eV per cell
total magnetic moment: 0.3 μB per formula unit



Q | Here is an optimized crystal structure of Sm3Ho4Er5 from Alexandria via LeMat-Bulk. Energies are from GGA-PBE.

abc: 6.1304 7.0840 8.6658
angles: 90.00 89.89 89.84
Space group P-1 (No. 2)
Asymmetric unit:
1 Sm 0.0000 0.0000 0.0000
2 Sm 0.1663 0.2502 0.3334
3 Ho 0.1678 0.7490 0.3331
4 Ho 0.3333 0.5000 0.6674
5 Er 0.0000 0.5000 0.0000
6 Er 0.3347 0.0002 0.6674
7 Er 0.4992 0.7493 0.0001

D(E_F): 15.48 states/eV per cell
total magnetic moment: 0.0 μB per formula unit



Energies relative to the minimum, eV/atom: P 0.224; Q 0.000



P | Here is an optimized crystal structure of Sm6Ho4Er from Alexandria via LeMat-Bulk. Energies are from GGA-PBE.

abc: 6.6125 6.6125 17.1041
angles: 90.00 90.00 90.00
Space group I-42m (No. 121)
Asymmetric unit:
1 Sm 0.0000 0.5000 0.0000
2 Sm 0.1885 0.1885 0.1757
3 Ho 0.1793 0.1793 0.3721
4 Er 0.0000 0.0000 0.0000

D(E_F): 32.51 states/eV per cell
total magnetic moment: 0.0 μB per formula unit



Q | Here is an optimized crystal structure of Sm6Ho4Er from Alexandria via LeMat-Bulk. Energies are from GGA-PBE.

abc: 5.8049 9.6356 25.6463
angles: 90.00 90.00 90.00
Space group Cmcm (No. 63)
Asymmetric unit:
1 Sm 0.0000 0.0000 0.0000
2 Sm 0.0000 0.0486 0.2500
3 Sm 0.0000 0.2987 0.6028
4 Sm 0.0000 0.3765 0.1823
5 Ho 0.0000 0.0435 0.1231
6 Ho 0.0000 0.3504 0.0438
7 Er 0.0000 0.2887 0.7500

D(E_F): 76.57 states/eV per cell
total magnetic moment: 0.0 μB per formula unit



Energies relative to the minimum, eV/atom: P 0.184; Q 0.000



P | Here is an optimized crystal structure of Sm4HoEr3 from Alexandria via LeMat-Bulk. Energies are from GGA-PBE.

abc: 11.3942 7.2811 6.2835
angles: 90.00 90.00 90.00
Space group Pmn2_1 (No. 31)
Asymmetric unit:
1 Sm 0.0000 0.1280 0.0000
2 Sm 0.0000 0.8724 0.4982
3 Sm 0.2494 0.8725 0.8338
4 Ho 0.0000 0.3778 0.5007
5 Er 0.0000 0.6214 0.0003
6 Er 0.2501 0.3783 0.8328

D(E_F): 29.04 states/eV per cell
total magnetic moment: 0.0 μB per formula unit



Q | Here is an optimized crystal structure of Sm4HoEr3 from Alexandria via LeMat-Bulk. Energies are from GGA-PBE.

abc: 5.6373 25.8979 3.6097
angles: 90.00 90.00 90.00
Space group Cmmm (No. 65)
Asymmetric unit:
1 Sm 0.0000 0.1028 0.0000
2 Sm 0.0000 0.2229 0.0000
3 Ho 0.0000 0.0000 0.5000
4 Er 0.0000 0.3482 0.5000
5 Er 0.0000 0.5000 0.0000

D(E_F): 22.73 states/eV per cell
total magnetic moment: 0.0 μB per formula unit



Energies relative to the minimum, eV/atom: P 0.000; Q 0.176



P | Here is an optimized crystal structure of Sm12HoEr7 from Alexandria via LeMat-Bulk. Energies are from GGA-PBE.

abc: 19.5756 19.5756 6.1488
angles: 90.00 90.00 120.00
Space group R-3m (No. 166, hexagonal axes)
Asymmetric unit:
1 Sm 0.0000 0.4137 0.0000
2 Sm 0.0980 0.5490 0.4628
3 Ho 0.0000 0.0000 0.5000
4 Er 0.0000 0.0000 0.0000
5 Er 0.0813 0.1625 0.2933

D(E_F): 84.57 states/eV per cell
total magnetic moment: 0.0 μB per formula unit



Q | Here is an optimized crystal structure of Sm12HoEr7 from Alexandria via LeMat-Bulk. Energies are from GGA-PBE.

abc: 12.8542 12.8542 13.9677
angles: 90.00 90.00 120.00
Space group R-3 (No. 148, hexagonal axes)
Asymmetric unit:
1 Sm 0.0004 0.4338 0.2487
2 Sm 0.0669 0.1982 0.3436
3 Ho 0.0000 0.0000 0.0000
4 Er 0.0000 0.0000 0.5000
5 Er 0.0672 0.8683 0.8522

D(E_F): 65.33 states/eV per cell
total magnetic moment: 0.0 μB per formula unit



Energies relative to the minimum, eV/atom: P 0.000; Q 0.032



P | Here is an optimized crystal structure of Sm2Ho5Er3 from Alexandria via LeMat-Bulk. Energies are from GGA-PBE.

abc: 10.5944 15.6713 9.4061
angles: 90.00 124.03 90.00
Space group C2/c (No. 15)
Asymmetric unit:
1 Sm 0.1416 0.1263 0.0466
2 Ho 0.0000 0.2318 0.2500
3 Ho 0.0000 0.2728 0.7500
4 Ho 0.0000 0.4718 0.7500
5 Ho 0.2320 0.3823 0.2192
6 Er 0.0000 0.0231 0.2500
7 Er 0.1576 0.3793 0.5498

D(E_F): 73.46 states/eV per cell
total magnetic moment: 0.0 μB per formula unit



Q | Here is an optimized crystal structure of Sm2Ho5Er3 from Alexandria via LeMat-Bulk. Energies are from GGA-PBE.

abc: 9.3161 13.4490 10.8068
angles: 90.00 90.00 90.00
Space group Ibam (No. 72)
Asymmetric unit:
1 Sm 0.1039 0.1264 0.0000
2 Ho 0.0000 0.2503 0.2500
3 Ho 0.0000 0.5000 0.2500
4 Ho 0.0868 0.3757 0.5000
5 Er 0.0000 0.0000 0.2500
6 Er 0.2464 0.1244 0.5000

D(E_F): 63.66 states/eV per cell
total magnetic moment: 0.0 μB per formula unit



Energies relative to the minimum, eV/atom: P 0.000; Q 0.219



P | Here is an optimized crystal structure of SmHo3Er7 from Alexandria via LeMat-Bulk. Energies are from GGA-PBE.

abc: 12.4699 11.0946 5.7316
angles: 90.00 117.29 90.00
Space group C2/m (No. 12)
Asymmetric unit:
1 Sm 0.0000 0.0000 0.0000
2 Ho 0.0000 0.2935 0.5000
3 Ho 0.0000 0.5000 0.0000
4 Er 0.0000 0.0000 0.5000
5 Er 0.2064 0.5000 0.7056
6 Er 0.2067 0.3054 0.2066

D(E_F): 33.11 states/eV per cell
total magnetic moment: 0.1 μB per formula unit



Q | Here is an optimized crystal structure of SmHo3Er7 from Alexandria via LeMat-Bulk. Energies are from GGA-PBE.

abc: 6.8840 5.4807 9.8272
angles: 90.00 109.53 90.00
Space group P2/m (No. 10)
Asymmetric unit:
1 Sm 0.0000 0.0000 0.0000
2 Ho 0.2769 0.5000 0.4957
3 Ho 0.5000 0.0000 0.0000
4 Er 0.0000 0.0000 0.5000
5 Er 0.1495 0.5000 0.7902
6 Er 0.3223 0.5000 0.1420
7 Er 0.4254 0.0000 0.3317

D(E_F): 18.09 states/eV per cell
total magnetic moment: 0.0 μB per formula unit



Energies relative to the minimum, eV/atom: P 0.116; Q 0.000



P | Here is an optimized crystal structure of SmHo2Er4 from Alexandria via LeMat-Bulk. Energies are from GGA-PBE.

abc: 6.0069 6.5437 11.4687
angles: 90.00 104.04 90.00
Space group P2_1/m (No. 11)
Asymmetric unit:
1 Sm 0.0381 0.2500 0.3634
2 Ho 0.1596 0.2500 0.9480
3 Ho 0.3992 0.7500 0.5086
4 Er 0.1457 0.2500 0.6636
5 Er 0.2780 0.7500 0.9220
6 Er 0.3448 0.5072 0.2097

D(E_F): 23.52 states/eV per cell
total magnetic moment: 0.0 μB per formula unit



Q | Here is an optimized crystal structure of SmHo2Er4 from Alexandria via LeMat-Bulk. Energies are from GGA-PBE.

abc: 16.5286 3.5039 8.6731
angles: 90.00 119.50 90.00
Space group C2/m (No. 12)
Asymmetric unit:
1 Sm 0.0000 0.0000 0.0000
2 Ho 0.0702 0.0000 0.4299
3 Er 0.1423 0.5000 0.8341
4 Er 0.2052 0.5000 0.2940

D(E_F): 21.11 states/eV per cell
total magnetic moment: 0.0 μB per formula unit



Energies relative to the minimum, eV/atom: P 0.097; Q 0.000